BiOF2 | Alexandria | PBE | optimized geometry; density = 7972 kg/m3; uncorrected formation energy = -1286 meV/atom; space group = No. 122; final energy = -4.43 eV per atom
1.0
3.7163 0.0000 0.0000
0.0000 3.7163 0.0000
1.8582 1.8582 7.9323
Bi O F
2 2 4
Direct
0.0000 0.0000 0.0000
0.7500 0.2500 0.5000
0.5000 0.5000 0.0000
0.2500 0.7500 0.5000
0.6479 0.1250 0.2500
0.1021 0.6250 0.2500
0.3750 0.3521 0.7500
0.8750 0.8979 0.7500


Pr6Y2Ho3Er | Alexandria | PBE | optimized geometry; density = 6958 kg/m3; space group = No. 12; final energy = -4.98 eV per atom; calculated formation energy = 0.1 eV per formula unit
1.0
-2.5023 -0.9296 -5.7113
4.1560 -4.1287 2.3293
-9.2890 -4.3951 5.9435
Pr Y Ho Er
6 2 3 1
Direct
0.9162 0.5839 0.7492
0.7514 0.7514 0.2509
0.0838 0.4161 0.2508
0.5839 0.9162 0.7492
0.2486 0.2486 0.7491
0.4161 0.0838 0.2508
0.3333 0.6667 0.0000
0.6667 0.3333 0.0000
0.1666 0.8334 0.5000
0.8334 0.1666 0.5000
0.5000 0.5000 0.5000
0.0000 0.0000 0.0000


LiSeBr2Cl | Alexandria | PBE | optimized geometry; density = 3221 kg/m3; uncorrected formation energy = 108 meV/atom; space group = No. 123; final energy = -2.01 eV per atom
1.0
5.3171 0.0000 0.0000
0.0000 5.3171 0.0000
0.0000 0.0000 5.1275
Li Se Br Cl
1 1 2 1
Direct
0.5000 0.5000 0.5000
0.0000 0.0000 0.5000
0.0000 0.5000 0.0000
0.5000 0.0000 0.0000
0.0000 0.0000 0.0000


NaMnSb2 | Alexandria | PBE | optimized geometry; density = 5458 kg/m3; uncorrected formation energy = -108 meV/atom; space group = No. 160; final energy = -4.79 eV per atom
1.0
-0.4857 3.6165 0.0361
-1.0948 1.6635 3.0579
7.5607 2.8231 3.3485
Na Mn Sb
1 1 2
Direct
0.5006 0.5006 0.4981
0.6664 0.6664 0.0009
0.0663 0.0663 0.8012
0.2667 0.2667 0.1998


CaYSb | Alexandria | PBE | optimized geometry; density = 3734 kg/m3; uncorrected formation energy = -547 meV/atom; space group = No. 156; final energy = -4.74 eV per atom
1.0
4.3125 0.0000 0.0000
-2.1562 3.7347 0.0000
0.0000 0.0000 6.9236
Y Sb Ca
1 1 1
Direct
0.3333 0.6667 0.5884
0.6667 0.3333 0.3459
0.0000 0.0000 0.0657


Sm2AgAu | Alexandria | PBE | optimized geometry; density = 8870 kg/m3; space group = No. 160; final energy = -4.27 eV per atom; calculated formation energy = -1.5 eV per formula unit
1.0
-0.7062 3.6320 -1.8151
-3.7403 1.7173 0.2129
0.5562 5.4192 5.9487
Sm Ag Au
2 1 1
Direct
0.0789 0.0789 0.7632
0.2544 0.2544 0.2369
0.5008 0.5008 0.4976
0.6659 0.6659 0.0023


Y3Pb2C | Alexandria | PBE | optimized geometry; density = 7240 kg/m3; space group = No. 15; final energy = -6.34 eV per atom; calculated formation energy = -2.0 eV per formula unit
1.0
6.3602 0.0000 0.0000
0.0000 7.0058 0.0509
-3.1801 -1.7031 7.1230
Y Pb C
6 4 2
Direct
0.4309 0.2500 0.0000
0.5691 0.7500 0.0000
0.0720 0.0753 0.2286
0.8434 0.4247 0.7714
0.1566 0.5753 0.2286
0.9280 0.9247 0.7714
0.7423 0.5786 0.3801
0.6379 0.0786 0.3801
0.3621 0.9214 0.6199
0.2577 0.4214 0.6199
0.9356 0.7500 0.0000
0.0644 0.2500 0.0000


La8Pt3Br3N | Alexandria | PBE | optimized geometry; density = 6869 kg/m3; uncorrected formation energy = -1154 meV/atom; space group = No. 12; final energy = -5.88 eV per atom
1.0
-3.2762 6.7326 -3.7988
-3.3483 -2.8378 7.1366
8.0713 4.2398 0.5531
La Pt Br N
8 3 3 1
Direct
0.2669 0.5337 0.3009
0.7331 0.4663 0.6991
0.7860 0.5720 0.3062
0.2140 0.4280 0.6938
0.7859 0.0209 0.3063
0.2141 0.9791 0.6937
0.2350 0.0209 0.3063
0.7650 0.9791 0.6937
0.5000 0.0000 0.5000
0.5000 0.5000 0.5000
0.0000 0.5000 0.5000
0.0000 0.0000 0.0000
0.0000 0.5000 0.0000
0.5000 0.5000 0.0000
0.0000 0.0000 0.5000


LaGeAu | Alexandria | PBE | optimized geometry; density = 9390 kg/m3; space group = No. 186; final energy = -5.16 eV per atom; calculated formation energy = -2.7 eV per formula unit
1.0
4.5446 0.0000 0.0000
-2.2723 3.9357 0.0000
0.0000 0.0000 8.0780
Ge Au La
2 2 2
Direct
0.6667 0.3333 0.7249
0.3333 0.6667 0.2248
0.6667 0.3333 0.2704
0.3333 0.6667 0.7704
0.0000 0.0000 0.0055
0.0000 0.0000 0.5054


ScGa2Sb2 | Alexandria | PBE | optimized geometry; density = 5883 kg/m3; uncorrected formation energy = -125 meV/atom; space group = No. 127; final energy = -4.25 eV per atom
1.0
7.5929 0.0000 0.0000
0.0000 7.5929 0.0000
0.0000 0.0000 4.1903
Sc Sb Ga
2 4 4
Direct
0.0000 0.0000 0.0000
0.5000 0.5000 0.0000
0.3559 0.8559 0.0000
0.8559 0.6441 0.0000
0.6441 0.1441 0.0000
0.1441 0.3559 0.0000
0.1667 0.6667 0.5000
0.6667 0.8333 0.5000
0.8333 0.3333 0.5000
0.3333 0.1667 0.5000


AlPt2W | Alexandria | PBE | optimized geometry; density = 16291 kg/m3; space group = No. 166; final energy = -7.58 eV per atom; calculated formation energy = -1.5 eV per formula unit
1.0
-1.3042 8.8209 0.5155
-3.9883 7.9910 0.1120
-2.8839 8.0014 2.7267
W Pt Al
1 2 1
Direct
0.2500 0.2500 0.2500
0.0045 0.0045 0.0045
0.4955 0.4955 0.4955
0.7500 0.7500 0.7500